Density functional theory data (GGA-PBE) for a relaxed structure of Nd3GeTe2.

Its total energy is -5.52 eV/atom. As for the spin magnetization: 0.01 μB/f.u.

The structure belongs to space group C2/c (No. 15); the cell edges are 7.777, 13.304 and 7.649 Å and the angles 90.00°, 109.63° and 90.00°. The asymmetric unit holds Nd at (0.222, 0.075, 0.497), Nd at (0.250, 0.250, 0.000), Ge at (0.000, 0.088, 0.750), Te at (0.000, 0.257, 0.250) and Te at (0.000, 0.418, 0.750).



Density functional theory data (GGA-PBE) for a relaxed structure of PrAl5NiPt.

Its total energy is -5.12 eV/atom. As for the spin magnetization: 0.01 μB/f.u.

The structure belongs to space group Imm2 (No. 44); the cell edges are 4.056, 7.203 and 9.787 Å and the angles 90.00°, 90.00° and 90.00°. The asymmetric unit holds Pr at (0.000, 0.000, 0.000), Al at (0.000, 0.184, 0.662), Al at (0.000, 0.196, 0.352), Al at (0.000, 0.500, 0.014), Ni at (0.000, 0.500, 0.247) and Pt at (0.000, 0.500, 0.767).



Density functional theory data (GGA-PBE) for a relaxed structure of HfCoAgSb.

As for the spin magnetization: 0.01 μB/f.u. The value obtained for the energy above the most stable polymorph in this dataset is 0.00 eV/f.u.

The structure belongs to space group F-43m (No. 216); the cell edges are 6.565, 6.565 and 6.565 Å and the angles 90.00°, 90.00° and 90.00°. The asymmetric unit holds Hf at (0.000, 0.000, 0.000), Co at (0.250, 0.250, 0.750), Ag at (0.250, 0.250, 0.250) and Sb at (0.000, 0.000, 0.500).



Density functional theory data (GGA-PBE) for a relaxed structure of ScFeCoSn.

As for the spin magnetization: 3.87 μB/f.u. The value obtained for the energy above the most stable polymorph in this dataset is 0.96 eV/f.u.

The structure belongs to space group F-43m (No. 216); the cell edges are 6.350, 6.350 and 6.350 Å and the angles 90.00°, 90.00° and 90.00°. The asymmetric unit holds Sc at (0.000, 0.000, 0.000), Fe at (0.250, 0.250, 0.750), Co at (0.000, 0.000, 0.500) and Sn at (0.250, 0.250, 0.250).



Density functional theory data (GGA-PBE) for a relaxed structure of Pm5Ga2Sb.

Its total energy is -4.87 eV/atom. As for the spin magnetization: 0.01 μB/f.u.

The structure belongs to space group I4/mcm (No. 140); the cell edges are 8.367, 8.367 and 13.033 Å and the angles 90.00°, 90.00° and 90.00°. The asymmetric unit holds Pm at (0.000, 0.000, 0.000), Pm at (0.158, 0.342, 0.144), Ga at (0.142, 0.358, 0.500) and Sb at (0.000, 0.000, 0.250).



Density functional theory data (GGA-PBE) for a relaxed structure of HfAl2.

Its total energy is -5.03 eV/atom. As for the spin magnetization: 0.00 μB/f.u.

The structure belongs to space group P4_2/mnm (No. 136); the cell edges are 5.528, 5.528 and 5.089 Å and the angles 90.00°, 90.00° and 90.00°. The asymmetric unit holds Hf at (0.000, 0.000, 0.000) and Al at (0.158, 0.158, 0.500).



Density functional theory data (GGA-PBE) for a relaxed structure of CsYLuTe3.

As for the spin magnetization: 0.04 μB/f.u. The value obtained for the energy above the most stable polymorph in this dataset is 0.00 eV/f.u.

The structure belongs to space group Cmcm (No. 63); the cell edges are 4.647, 17.596 and 11.874 Å and the angles 90.00°, 90.00° and 90.00°. The asymmetric unit holds Cs at (0.000, 0.243, 0.250), Y at (0.000, 0.500, 0.000), Lu at (0.000, 0.036, 0.750), Te at (0.000, 0.121, 0.545) and Te at (0.000, 0.437, 0.750).



Density functional theory data (GGA-PBE) for a relaxed structure of PaInNO.

As for the spin magnetization: 1.00 μB/f.u. The value obtained for the energy above the most stable polymorph in this dataset is 0.21 eV/f.u.

The structure belongs to space group Pca2_1 (No. 29); the cell edges are 5.761, 8.578 and 5.688 Å and the angles 90.00°, 90.00° and 90.00°. The asymmetric unit holds Pa at (0.011, 0.149, 0.000), In at (0.012, 0.622, 0.984), N at (0.098, 0.612, 0.583) and O at (0.245, 0.989, 0.245).



Density functional theory data (GGA-PBE) for a relaxed structure of Dy4PtI5.

Its total energy is -4.45 eV/atom. As for the spin magnetization: 0.23 μB/f.u.

The structure belongs to space group C2/m (No. 12); the cell edges are 19.531, 4.158 and 8.928 Å and the angles 90.00°, 102.37° and 90.00°. The asymmetric unit holds Dy at (0.001, 0.000, 0.205), Dy at (0.144, 0.500, 0.074), Pt at (0.000, 0.500, 0.000), I at (0.000, 0.500, 0.500), I at (0.168, 0.000, 0.341) and I at (0.178, 0.000, 0.833).



Density functional theory data (GGA-PBE) for a relaxed structure of Na6GaHg.

Its total energy is -1.47 eV/atom.

The structure belongs to space group P-6m2 (No. 187); the cell edges are 6.8382, 6.8382 and 5.5302 Å and the angles 90.00°, 90.00° and 120.00°. The asymmetric unit holds Na at (0.0170, 0.5085, 0.0000), Na at (0.3221, 0.1610, 0.5000), Ga at (0.3333, 0.6667, 0.5000) and Hg at (0.0000, 0.0000, 0.0000).



Density functional theory data (GGA-PBE) for a relaxed structure of TbTmS2Cl2.

Its total energy is -5.69 eV/atom. As for the spin magnetization: 0.00 μB/f.u.

The structure belongs to space group Pmm2 (No. 25); the cell edges are 3.974, 5.334 and 8.394 Å and the angles 90.00°, 90.00° and 90.00°. The asymmetric unit holds Tb at (0.000, 0.000, 0.000), Tm at (0.500, 0.500, 0.278), S at (0.000, 0.500, 0.059), S at (0.500, 0.000, 0.228), Cl at (0.000, 0.500, 0.485) and Cl at (0.500, 0.000, 0.786).



Density functional theory data (GGA-PBE) for a relaxed structure of RbLuBe.

As for the spin magnetization: 0.02 μB/f.u. The value obtained for the energy above the most stable polymorph in this dataset is 1.79 eV/f.u.

The structure belongs to space group F-43m (No. 216); the cell edges are 7.357, 7.357 and 7.357 Å and the angles 90.00°, 90.00° and 90.00°. The asymmetric unit holds Rb at (0.000, 0.000, 0.000), Lu at (0.250, 0.250, 0.250) and Be at (0.250, 0.250, 0.750).